(1)
The following is a GGA-PBE calculation of an optimized crystal structure of Cs3PaSb2O8, from the Alexandria database.

Structure (POSCAR):
```
Cs3PaSb2O8
1.0
6.531 0.000 0.000
-3.266 5.656 0.000
0.000 0.000 8.702
Cs Pa Sb O
3 1 2 8
Cartesian
0.000 0.000 0.000
0.000 3.771 6.758
3.266 1.885 1.943
0.000 0.000 4.351
0.000 3.771 2.700
3.266 1.885 6.002
0.000 1.744 3.029
-1.755 4.784 3.029
1.510 0.872 5.673
0.000 3.771 0.808
3.266 1.885 7.894
1.755 4.784 3.029
5.021 0.872 5.673
3.266 3.912 5.673
```

## Properties
Space-group type: P-3m1, No. 164
Uncorrected formation energy (eV per atom): -1.926

=====

(2)
The following is a GGA-PBE calculation of an optimized crystal structure of DyGeBi, from the Alexandria database.

Structure (POSCAR):
```
DyGeBi
1.0
4.845 0.000 0.000
-2.422 4.196 0.000
0.000 0.000 4.050
Dy Ge Bi
1 1 1
Cartesian
0.000 0.000 0.000
2.422 1.399 2.855
0.000 2.797 1.885
```

## Properties
Space-group type: P3m1, No. 156
Energy above the most stable polymorph in this dataset (meV/atom): 350

=====

(3)
The following is a GGA-PBE calculation of an optimized crystal structure of ReAg2Hg, from the Alexandria database.

Structure (POSCAR):
```
ReAg2Hg
1.0
2.781 0.000 0.000
0.000 4.853 0.000
0.000 0.000 5.251
Re Ag Hg
1 2 1
Cartesian
0.000 0.000 0.000
0.000 2.426 3.509
1.391 0.000 2.661
1.391 2.426 0.818
```

## Properties
Space-group type: Pmm2, No. 25

=====

(4)
The following is a GGA-PBE calculation of an optimized crystal structure of Tm3Ag2Pd2, from the Alexandria database.

Structure (POSCAR):
```
Tm3Ag2Pd2
1.0
1.987 -10.659 0.000
1.987 10.659 0.000
0.000 0.000 3.610
Tm Ag Pd
3 2 2
Cartesian
0.000 0.000 0.000
1.987 7.095 0.000
1.987 -7.095 0.000
1.987 1.557 1.805
1.987 -1.557 1.805
1.987 4.400 1.805
1.987 -4.400 1.805
```

## Properties
Space-group type: Cmmm, No. 65

=====

(5)
The following is a GGA-PBE calculation of an optimized crystal structure of Sm3Al8Ag3, from the Alexandria database.

Structure (POSCAR):
```
Sm3Al8Ag3
1.0
-2.221 4.892 6.499
2.221 -4.892 6.499
2.221 4.892 -6.499
Sm Al Ag
3 8 3
Cartesian
0.000 0.000 0.000
0.000 0.000 3.891
0.000 0.000 9.107
2.221 -1.313 2.086
2.221 -2.123 4.740
2.221 1.313 2.086
0.000 2.769 1.760
2.221 2.123 4.740
0.000 3.578 4.413
0.000 7.014 1.760
0.000 6.205 4.413
2.221 2.915 0.000
0.000 4.892 0.000
0.000 1.977 6.499
```

## Properties
Space-group type: Immm, No. 71

=====

(6)
The following is a GGA-PBE calculation of an optimized crystal structure of Ca4Se2N, from the Alexandria database.

Structure (POSCAR):
```
Ca4Se2N
1.0
7.395 -1.955 0.000
7.395 1.955 0.000
-3.184 0.000 6.150
Ca Se N
4 2 1
Cartesian
0.606 0.000 2.011
4.925 0.000 1.559
6.681 0.000 4.591
11.000 0.000 4.139
1.597 0.000 4.767
10.009 0.000 1.383
-1.592 0.000 3.075
```

## Properties
Space-group type: C2/m, No. 12
Uncorrected formation energy (eV per atom): -1.271
Energy above the most stable polymorph in this dataset (meV/atom): 0

=====

(7)
The following is a GGA-PBE calculation of an optimized crystal structure of SmLuThIn, from the Alexandria database.

Structure (POSCAR):
```
SmLuThIn
1.0
0.000 3.886 3.886
3.886 0.000 3.886
3.886 3.886 0.000
Sm Lu Th In
1 1 1 1
Cartesian
0.000 0.000 0.000
1.943 1.943 1.943
3.886 3.886 3.886
5.829 5.829 5.829
```

## Properties
Space-group type: F-43m, No. 216

=====

(8)
The following is a GGA-PBE calculation of an optimized crystal structure of Al3BF, from the Alexandria database.

Structure (POSCAR):
```
Al3BF
1.0
4.220 0.000 0.000
0.000 4.220 0.000
0.000 0.000 4.220
Al B F
3 1 1
Cartesian
0.000 0.000 2.110
0.000 2.110 0.000
2.110 0.000 0.000
0.000 0.000 0.000
2.110 2.110 2.110
```

## Properties
Space-group type: Pm-3m, No. 221
Uncorrected formation energy (eV per atom): 0.010
Energy above the most stable polymorph in this dataset (meV/atom): 0

=====

no.,total magnetization (Bohr magnetons per cell),V (Å³/cell),total energy (eV per formula unit)
1,0.00,321.5,-86.93
2,0.00,82.3,-13.75
3,0.00,70.9,-15.78
4,0.00,152.9,-33.64
5,0.00,282.4,-58.22
6,0.75,177.8,-32.20
7,0.00,117.3,-19.73
8,0.00,75.2,-19.73